AlFeB2Pb2O8: relaxed, PBEsol.

POSCAR file:
```
AlFeB2Pb2O8
1.0
5.862 0.000 0.000
0.000 6.811 0.000
-5.600 0.000 8.348
Al Fe B Pb O
2 2 4 4 16
Cartesian
0.000 0.000 0.000
-2.800 3.405 4.174
2.931 0.000 0.000
0.131 3.405 4.174
-1.435 1.523 2.190
-4.235 1.883 6.364
4.497 4.928 1.984
1.697 5.288 6.158
1.558 3.733 1.206
-1.241 6.484 5.380
1.504 0.327 2.968
-1.296 3.078 7.142
-0.247 1.166 1.564
-3.047 2.240 5.738
-4.247 1.223 7.579
-1.447 2.183 3.405
-0.156 4.594 2.575
-2.955 5.623 6.749
-1.361 4.135 5.076
1.439 6.081 0.902
-1.177 0.729 7.446
1.623 2.676 3.272
3.217 1.188 1.599
0.418 2.217 5.773
1.709 4.628 4.943
4.509 5.588 0.769
3.309 4.571 2.610
0.509 5.645 6.784
```

Spin magnetization in μB/atom: 0.332
Total energy in eV per cell: -209.36
Space group: No. 14
E_form (uncorrected) in meV/atom: -1971